[1]
Here is DyBe6Au6 after structural relaxation from the Alexandria database. Energies are from PBE.

CIF file:
```
data_DyBe6Au6
_chemical_formula_sum 'Dy2 Be12 Au12'
_cell_length_a 4.887
_cell_length_b 8.551
_cell_length_c 8.800
_cell_angle_alpha 90.00
_cell_angle_beta 90.00
_cell_angle_gamma 90.00
_space_group_name_H-M_alt 'I m m m'
_space_group_IT_number 71
_space_group_name_Hall '-I 2 2'
loop_
_atom_site_label
_atom_site_type_symbol
_atom_site_fract_x
_atom_site_fract_y
_atom_site_fract_z
Dy1 Dy 0.000 0.000 0.000
Be1 Be 0.000 0.260 0.500
Be2 Be 0.250 0.250 0.250
Au1 Au 0.000 0.000 0.342
Au2 Au 0.000 0.332 0.000
Au3 Au 0.000 0.500 0.321
```

## Properties
Total energy: -3.87 eV/atom
Magnetization: 0.00 μB/cell
Energy of formation from the pure elements: -0.286 eV/atom

---

[2]
Here is SrLi5Ag6 after structural relaxation from the Alexandria database. Energies are from PBE.

CIF file:
```
data_SrLi5Ag6
_chemical_formula_sum 'Sr2 Li10 Ag12'
_cell_length_a 4.552
_cell_length_b 13.742
_cell_length_c 7.281
_cell_angle_alpha 90.00
_cell_angle_beta 90.00
_cell_angle_gamma 90.00
_space_group_name_H-M_alt 'C m m m'
_space_group_IT_number 65
_space_group_name_Hall '-C 2 2'
loop_
_atom_site_label
_atom_site_type_symbol
_atom_site_fract_x
_atom_site_fract_y
_atom_site_fract_z
Sr1 Sr 0.000 0.000 0.000
Li1 Li 0.000 0.000 0.500
Li2 Li 0.000 0.317 0.000
Li3 Li 0.000 0.338 0.500
Ag1 Ag 0.000 0.177 0.285
Ag2 Ag 0.000 0.500 0.296
```

## Properties
Total energy: -2.52 eV/atom
Magnetization: 0.00 μB/cell
Energy of formation from the pure elements: -0.162 eV/atom

---

[3]
Here is Li2PaGeSe4 after structural relaxation from the Alexandria database. Energies are from PBE.

CIF file:
```
data_Li2PaGeSe4
_chemical_formula_sum 'Li2 Pa1 Ge1 Se4'
_cell_length_a 6.807
_cell_length_b 4.028
_cell_length_c 7.127
_cell_angle_alpha 90.00
_cell_angle_beta 109.59
_cell_angle_gamma 90.00
_space_group_name_H-M_alt 'P 1 2/m 1'
_space_group_IT_number 10
_space_group_name_Hall '-P 2y'
loop_
_atom_site_label
_atom_site_type_symbol
_atom_site_fract_x
_atom_site_fract_y
_atom_site_fract_z
Li1 Li 0.000 0.000 0.000
Li2 Li 0.000 0.500 0.500
Pa1 Pa 0.500 0.000 0.500
Ge1 Ge 0.500 0.500 0.000
Se1 Se 0.246 0.500 0.244
Se2 Se 0.253 0.000 0.747
```

## Properties
ΔE_f (raw): -1.0323 eV per atom
Total energy: -5.02 eV/atom
Magnetization: 1.01 μB/cell

---

[4]
Here is La2Pm6Er3Mg after structural relaxation from the Alexandria database. Energies are from PBE.

CIF file:
```
data_La2Pm6Er3Mg
_chemical_formula_sum 'La4 Pm12 Er6 Mg2'
_cell_length_a 6.230
_cell_length_b 10.803
_cell_length_c 11.907
_cell_angle_alpha 90.00
_cell_angle_beta 100.17
_cell_angle_gamma 90.00
_space_group_name_H-M_alt 'C 1 2/m 1'
_space_group_IT_number 12
_space_group_name_Hall '-C 2y'
loop_
_atom_site_label
_atom_site_type_symbol
_atom_site_fract_x
_atom_site_fract_y
_atom_site_fract_z
La1 La 0.000 0.167 0.000
Pm1 Pm 0.246 0.500 0.744
Pm2 Pm 0.249 0.335 0.255
Er1 Er 0.000 0.000 0.500
Er2 Er 0.000 0.334 0.500
Mg1 Mg 0.000 0.500 0.000
```

## Properties
Total energy: -4.46 eV/atom
Magnetization: 0.00 μB/cell
Energy of formation from the pure elements: 0.012 eV/atom

---

[5]
Here is BaInBi3 after structural relaxation from the Alexandria database. Energies are from PBE.

CIF file:
```
data_BaInBi3
_chemical_formula_sum 'Ba2 In2 Bi6'
_cell_length_a 7.025
_cell_length_b 7.479
_cell_length_c 7.101
_cell_angle_alpha 90.00
_cell_angle_beta 90.09
_cell_angle_gamma 90.00
_space_group_name_H-M_alt 'P 1 21 1'
_space_group_IT_number 4
_space_group_name_Hall 'P 2yb'
loop_
_atom_site_label
_atom_site_type_symbol
_atom_site_fract_x
_atom_site_fract_y
_atom_site_fract_z
Ba1 Ba 0.249 0.000 0.220
In1 In 0.250 0.311 0.635
Bi1 Bi 0.001 0.955 0.706
Bi2 Bi 0.251 0.627 0.909
Bi3 Bi 0.499 0.955 0.705
```

## Properties
Total energy: -3.57 eV/atom
Magnetization: 0.00 μB/cell
E above lowest polymorph: 0.000 eV/atom
Energy of formation from the pure elements: -0.314 eV/atom

---

[6]
Here is CaY2Rh2 after structural relaxation from the Alexandria database. Energies are from PBE.

CIF file:
```
data_CaY2Rh2
_chemical_formula_sum 'Ca2 Y4 Rh4'
_cell_length_a 5.023
_cell_length_b 5.023
_cell_length_c 10.793
_cell_angle_alpha 90.00
_cell_angle_beta 90.00
_cell_angle_gamma 90.00
_space_group_name_H-M_alt 'I 4/m m m'
_space_group_IT_number 139
_space_group_name_Hall '-I 4 2'
loop_
_atom_site_label
_atom_site_type_symbol
_atom_site_fract_x
_atom_site_fract_y
_atom_site_fract_z
Ca1 Ca 0.000 0.000 0.000
Y1 Y 0.000 0.000 0.338
Rh1 Rh 0.000 0.500 0.250
```

## Properties
Total energy: -6.19 eV/atom
Magnetization: 0.00 μB/cell
E above lowest polymorph: 0.363 eV/atom
Energy of formation from the pure elements: -0.268 eV/atom

---

[7]
Here is TlHgMoN2 after structural relaxation from the Alexandria database. Energies are from PBE.

CIF file:
```
data_TlHgMoN2
_chemical_formula_sum 'Tl1 Hg1 Mo1 N2'
_cell_length_a 4.166
_cell_length_b 4.166
_cell_length_c 5.554
_cell_angle_alpha 90.00
_cell_angle_beta 90.00
_cell_angle_gamma 90.00
_space_group_name_H-M_alt 'P 4/m m m'
_space_group_IT_number 123
_space_group_name_Hall '-P 4 2'
loop_
_atom_site_label
_atom_site_type_symbol
_atom_site_fract_x
_atom_site_fract_y
_atom_site_fract_z
Tl1 Tl 0.000 0.000 0.000
Hg1 Hg 0.000 0.000 0.500
Mo1 Mo 0.500 0.500 0.000
N1 N 0.000 0.500 0.500
```

## Properties
ΔE_f (raw): 2.6092 eV per atom
Total energy: -3.42 eV/atom
Magnetization: 0.00 μB/cell

---

[8]
Here is Ce3GeO after structural relaxation from the Alexandria database. Energies are from PBE.

CIF file:
```
data_Ce3GeO
_chemical_formula_sum 'Ce12 Ge4 O4'
_cell_length_a 9.441
_cell_length_b 12.258
_cell_length_c 3.863
_cell_angle_alpha 90.00
_cell_angle_beta 90.00
_cell_angle_gamma 90.00
_space_group_name_H-M_alt 'C m m m'
_space_group_IT_number 65
_space_group_name_Hall '-C 2 2'
loop_
_atom_site_label
_atom_site_type_symbol
_atom_site_fract_x
_atom_site_fract_y
_atom_site_fract_z
Ce1 Ce 0.000 0.189 0.000
Ce2 Ce 0.197 0.377 0.500
Ge1 Ge 0.000 0.000 0.500
Ge2 Ge 0.000 0.500 0.000
O1 O 0.250 0.250 0.000
```

## Properties
ΔE_f (raw): -1.3415 eV per atom
Total energy: -6.82 eV/atom
Magnetization: 9.10 μB/cell

---

[9]
Here is BaPmEr2 after structural relaxation from the Alexandria database. Energies are from PBE.

CIF file:
```
data_BaPmEr2
_chemical_formula_sum 'Ba1 Pm1 Er2'
_cell_length_a 3.708
_cell_length_b 3.708
_cell_length_c 10.757
_cell_angle_alpha 90.00
_cell_angle_beta 90.00
_cell_angle_gamma 90.00
_space_group_name_H-M_alt 'P 4/m m m'
_space_group_IT_number 123
_space_group_name_Hall '-P 4 2'
loop_
_atom_site_label
_atom_site_type_symbol
_atom_site_fract_x
_atom_site_fract_y
_atom_site_fract_z
Ba1 Ba 0.000 0.000 0.000
Pm1 Pm 0.000 0.000 0.500
Er1 Er 0.500 0.500 0.281
```

## Properties
Total energy: -3.78 eV/atom
Magnetization: 0.00 μB/cell
E above lowest polymorph: 0.000 eV/atom
Energy of formation from the pure elements: 0.166 eV/atom

---

[10]
Here is CaDySiPd after structural relaxation from the Alexandria database. Energies are from PBE.

CIF file:
```
data_CaDySiPd
_chemical_formula_sum 'Ca4 Dy4 Si4 Pd4'
_cell_length_a 7.046
_cell_length_b 7.046
_cell_length_c 7.046
_cell_angle_alpha 90.00
_cell_angle_beta 90.00
_cell_angle_gamma 90.00
_space_group_name_H-M_alt 'F -4 3 m'
_space_group_IT_number 216
_space_group_name_Hall 'F -4 2 3'
loop_
_atom_site_label
_atom_site_type_symbol
_atom_site_fract_x
_atom_site_fract_y
_atom_site_fract_z
Ca1 Ca 0.000 0.000 0.000
Dy1 Dy 0.000 0.000 0.500
Si1 Si 0.250 0.250 0.750
Pd1 Pd 0.250 0.250 0.250
```

## Properties
ΔE_f (raw): -0.6266 eV per atom
Total energy: -4.93 eV/atom
Magnetization: 0.00 μB/cell

---

[11]
Here is ThSbPd3 after structural relaxation from the Alexandria database. Energies are from PBE.

CIF file:
```
data_ThSbPd3
_chemical_formula_sum 'Th4 Sb4 Pd12'
_cell_length_a 5.222
_cell_length_b 5.222
_cell_length_c 18.459
_cell_angle_alpha 90.00
_cell_angle_beta 90.00
_cell_angle_gamma 90.00
_space_group_name_H-M_alt 'I -4 m 2'
_space_group_IT_number 119
_space_group_name_Hall 'I -4 -2'
loop_
_atom_site_label
_atom_site_type_symbol
_atom_site_fract_x
_atom_site_fract_y
_atom_site_fract_z
Th1 Th 0.000 0.000 0.139
Sb1 Sb 0.000 0.000 0.500
Sb2 Sb 0.000 0.500 0.750
Pd1 Pd 0.000 0.247 0.623
Pd2 Pd 0.000 0.500 0.060
```

## Properties
ΔE_f (raw): -0.4004 eV per atom
Total energy: -5.82 eV/atom
Magnetization: 0.00 μB/cell

---

[12]
Here is LiReTcW after structural relaxation from the Alexandria database. Energies are from PBE.

CIF file:
```
data_LiReTcW
_chemical_formula_sum 'Li4 Re4 Tc4 W4'
_cell_length_a 6.134
_cell_length_b 6.134
_cell_length_c 6.134
_cell_angle_alpha 90.00
_cell_angle_beta 90.00
_cell_angle_gamma 90.00
_space_group_name_H-M_alt 'F -4 3 m'
_space_group_IT_number 216
_space_group_name_Hall 'F -4 2 3'
loop_
_atom_site_label
_atom_site_type_symbol
_atom_site_fract_x
_atom_site_fract_y
_atom_site_fract_z
Li1 Li 0.000 0.000 0.000
Re1 Re 0.250 0.250 0.250
Tc1 Tc 0.250 0.250 0.750
W1 W 0.000 0.000 0.500
```

## Properties
Total energy: -9.19 eV/atom
Magnetization: 0.00 μB/cell
Energy of formation from the pure elements: 0.234 eV/atom

---

Q: Look up the total energy of the sixth one.
A: -6.19 eV/atom

---

Q: Which value of total energy does entry 11 give?
A: -5.82 eV/atom